Record 1
# BaBeSiNi | OQMD | PBE | relaxed
data_BaBeSiNi
_cell_length_a 6.6769
_cell_length_b 6.6769
_cell_length_c 6.6769
_cell_angle_alpha 90.00
_cell_angle_beta 90.00
_cell_angle_gamma 90.00
_space_group_name_H-M_alt 'F -4 3 m'
_space_group_IT_number 216
_space_group_name_Hall 'F -4 2 3'
loop_
_atom_site_label
_atom_site_fract_x
_atom_site_fract_y
_atom_site_fract_z
Ba1 0.0000 0.0000 0.0000
Be1 0.2500 0.2500 0.7500
Si1 0.0000 0.0000 0.5000
Ni1 0.2500 0.2500 0.2500
# **Energy**: -3.644 eV/atom
# **Crystal system**: cubic
# **Volume**: 18.6 Å³ per atom
# **Theoretical density**: 5.20 Mg/m³

=====

Record 2
# Li3Pr2HoPb3 | OQMD | PBE | relaxed
data_Li3Pr2HoPb3
_cell_length_a 4.8823
_cell_length_b 4.8823
_cell_length_c 11.1071
_cell_angle_alpha 90.00
_cell_angle_beta 90.00
_cell_angle_gamma 120.00
_space_group_name_H-M_alt 'P -6 m 2'
_space_group_IT_number 187
_space_group_name_Hall 'P -6 2'
loop_
_atom_site_label
_atom_site_fract_x
_atom_site_fract_y
_atom_site_fract_z
Li1 0.0000 0.0000 0.0000
Li2 0.3333 0.6667 0.3211
Pr1 0.6667 0.3333 0.1691
Ho1 0.6667 0.3333 0.5000
Pb1 0.0000 0.0000 0.3404
Pb2 0.3333 0.6667 0.0000
# **Energy**: -3.927 eV/atom
# **Crystal system**: hexagonal
# **Volume**: 25.5 Å³ per atom
# **Theoretical density**: 7.89 Mg/m³